No. 1
This record from Alexandria describes a relaxed SiTc2Mo crystal. The functional is GGA-PBE.

Cell lengths 4.3309, 4.3309, 4.3309 Å; angles 60.00, 60.00, 60.00 degrees
With the nearest neighbours (Å) after each atom.
Positions (direct):
1 Si 0.0000 0.0000 0.0000  4 Mo 2.65, 4 Tc 2.65
2 Tc 0.5000 0.5000 0.5000  4 Mo 2.65, 4 Tc 2.65
3 Tc 0.7500 0.7500 0.7500  4 Tc 2.65, 4 Si 2.65
4 Mo 0.2500 0.2500 0.2500  4 Tc 2.65, 4 Si 2.65

Summary:
The value obtained for the density of states at the Fermi level is 1.28 states/eV per atom. The uncorrected formation energy is -0.033 eV/atom. The crystal system is cubic.

No. 2
This record from Alexandria describes a relaxed PuPdS crystal. The functional is GGA-PBE.

Cell lengths 4.2748, 4.2748, 3.7188 Å; angles 90.00, 90.00, 120.00 degrees
With the nearest neighbours (Å) after each atom.
Positions (direct):
1 Pu 0.0000 0.0000 0.0000  6 S 3.09, 6 Pd 3.09
2 Pd 0.6667 0.3333 0.5000  3 S 2.47
3 S 0.3333 0.6667 0.5000  3 Pd 2.47

Summary:
The value obtained for the density of states at the Fermi level is 3.88 states/eV per atom. The uncorrected formation energy is -0.908 eV/atom. The crystal system is hexagonal. The energy above the lowest structure with this stoichiometry comes out at 0.068 eV per atom.

No. 3
This record from Alexandria describes a relaxed PuAu2I6 crystal. The functional is GGA-PBE.

Cell lengths 10.7954, 10.7954, 7.6047 Å; angles 97.19, 97.19, 92.28 degrees
With the nearest neighbours (Å) after each atom.
Positions (direct):
1 Pu 0.0782 0.9218 0.7500  6 I 2.91-3.09
2 Pu 0.9218 0.0782 0.2500  6 I 2.91-3.09
3 Au 0.3960 0.3985 0.7023  2 I 2.60-2.61
4 Au 0.3985 0.3960 0.2023  2 I 2.60-2.61
5 Au 0.6015 0.6040 0.7977  2 I 2.60-2.61
6 Au 0.6040 0.6015 0.2977  2 I 2.60-2.61
7 I 0.0515 0.1812 0.6219  2 Pu 3.05-3.09
8 I 0.0858 0.6705 0.8502  1 Pu 2.91
9 I 0.1812 0.0515 0.1219  2 Pu 3.05-3.09
10 I 0.2724 0.5001 0.4459  2 Au 2.60-2.61
11 I 0.3295 0.9142 0.6498  1 Pu 2.91
12 I 0.5001 0.2724 0.9459  2 Au 2.60-2.61
13 I 0.4999 0.7276 0.0541  2 Au 2.60-2.61
14 I 0.6705 0.0858 0.3502  1 Pu 2.91
15 I 0.7276 0.4999 0.5541  2 Au 2.60-2.61
16 I 0.8188 0.9485 0.8781  2 Pu 3.05-3.09
17 I 0.9142 0.3295 0.1498  1 Pu 2.91
18 I 0.9485 0.8188 0.3781  2 Pu 3.05-3.09

Summary:
The value obtained for the density of states at the Fermi level is 1.53 states/eV per atom. The uncorrected formation energy is -0.485 eV/atom. The crystal system is monoclinic.

No. 4
This record from Alexandria describes a relaxed CrSBr2 crystal. The functional is GGA-PBE.

Cell lengths 9.6117, 9.6117, 9.6117 Å; angles 22.26, 22.26, 22.26 degrees
With the nearest neighbours (Å) after each atom.
Positions (direct):
1 Cr 0.0000 0.0000 0.0000  6 Br 2.62
2 S 0.5000 0.5000 0.5000  2 Br 3.17
3 Br 0.3873 0.3873 0.3873  3 Cr 2.62
4 Br 0.6127 0.6127 0.6127  3 Cr 2.62

Summary:
The value obtained for the density of states at the Fermi level is 0.74 states/eV per atom. The uncorrected formation energy is 0.159 eV/atom. The crystal system is trigonal. The energy above the lowest structure with this stoichiometry comes out at 0.000 eV per atom.

No. 5
This record from Alexandria describes a relaxed Ta3Cd crystal. The functional is GGA-PBE.

Cell lengths 10.3135, 10.3135, 10.3135 Å; angles 16.44, 16.44, 16.44 degrees
With the nearest neighbours (Å) after each atom.
Positions (direct):
1 Ta 0.0000 0.0000 0.0000  12 Ta 2.95-3.02
2 Ta 0.2515 0.2515 0.2515  9 Ta 2.95-3.02, 3 Cd 3.10
3 Ta 0.7485 0.7485 0.7485  9 Ta 2.95-3.02, 3 Cd 3.10
4 Cd 0.5000 0.5000 0.5000  6 Cd 2.95, 6 Ta 3.10

Summary:
The value obtained for the density of states at the Fermi level is 1.25 states/eV per atom. The value obtained for the formation energy from the elements is 0.29 eV/atom. The crystal system is trigonal. The energy above the lowest structure with this stoichiometry comes out at 0.171 eV per atom.

No. 6
This record from Alexandria describes a relaxed KB2As2 crystal. The functional is GGA-PBE.

Cell lengths 7.4415, 7.4415, 7.4415 Å; angles 151.06, 151.06, 41.39 degrees
With the nearest neighbours (Å) after each atom.
Positions (direct):
1 K 0.0000 0.0000 0.0000  8 As 3.49, 4 K 3.72
2 B 0.2500 0.7500 0.5000  4 As 2.20
3 B 0.7500 0.2500 0.5000  4 As 2.20
4 As 0.3348 0.3348 0.0000  4 B 2.20
5 As 0.6652 0.6652 0.0000  4 B 2.20

Summary:
The value obtained for the density of states at the Fermi level is 0.12 states/eV per atom. The value obtained for the formation energy from the elements is 0.31 eV/atom. The crystal system is tetragonal. The energy above the lowest structure with this stoichiometry comes out at 0.000 eV per atom.

No. 7
This record from Alexandria describes a relaxed ZrIn4Sb crystal. The functional is GGA-PBE.

Cell lengths 5.9395, 5.9395, 5.9395 Å; angles 60.00, 60.00, 60.00 degrees
With the nearest neighbours (Å) after each atom.
Positions (direct):
1 Zr 0.0000 0.0000 0.0000  12 In 3.48, 4 Sb 3.64
2 In 0.1231 0.6256 0.6256  6 In 2.95-2.98
3 In 0.6256 0.1231 0.6256  6 In 2.95-2.98
4 In 0.6256 0.6256 0.1231  6 In 2.95-2.98
5 In 0.6256 0.6256 0.6256  6 In 2.95-2.98
6 Sb 0.2500 0.2500 0.2500  12 In 3.48, 4 Zr 3.64

Summary:
The value obtained for the density of states at the Fermi level is 0.45 states/eV per atom. The uncorrected formation energy is 0.150 eV/atom. The crystal system is cubic.

No. 8
This record from Alexandria describes a relaxed SiTePb2 crystal. The functional is GGA-PBE.

Cell lengths 5.3893, 5.3893, 5.3893 Å; angles 60.00, 60.00, 60.00 degrees
With the nearest neighbours (Å) after each atom.
Positions (direct):
1 Si 0.0000 0.0000 0.0000  4 Pb 3.30, 4 Te 3.30
2 Te 0.7500 0.7500 0.7500  4 Pb 3.30, 4 Si 3.30
3 Pb 0.2500 0.2500 0.2500  4 Pb 3.30, 4 Si 3.30
4 Pb 0.5000 0.5000 0.5000  4 Te 3.30, 4 Pb 3.30

Summary:
The value obtained for the density of states at the Fermi level is 0.99 states/eV per atom. The uncorrected formation energy is 0.398 eV/atom. The crystal system is cubic. The energy above the lowest structure with this stoichiometry comes out at 0.229 eV per atom.

No. 9
This record from Alexandria describes a relaxed Cs6PbBr8 crystal. The functional is GGA-PBE.

Cell lengths 9.3892, 9.3892, 9.3892 Å; angles 68.87, 68.87, 68.87 degrees
With the nearest neighbours (Å) after each atom.
Positions (direct):
1 Cs 0.0129 0.4388 0.8066  7 Br 3.64-3.90
2 Cs 0.1934 0.9871 0.5612  7 Br 3.64-3.90
3 Cs 0.4388 0.8066 0.0129  7 Br 3.64-3.90
4 Cs 0.5612 0.1934 0.9871  7 Br 3.64-3.90
5 Cs 0.8066 0.0129 0.4388  7 Br 3.64-3.90
6 Cs 0.9871 0.5612 0.1934  7 Br 3.64-3.90
7 Pb 0.5000 0.5000 0.5000  6 Br 3.06
8 Br 0.1569 0.1569 0.1569  6 Cs 3.64-3.74
9 Br 0.1865 0.6605 0.4079  1 Pb 3.06
10 Br 0.3395 0.5921 0.8135  1 Pb 3.06
11 Br 0.4079 0.1865 0.6605  1 Pb 3.06
12 Br 0.5921 0.8135 0.3395  1 Pb 3.06
13 Br 0.6605 0.4079 0.1865  1 Pb 3.06
14 Br 0.8135 0.3395 0.5921  1 Pb 3.06
15 Br 0.8431 0.8431 0.8431  6 Cs 3.64-3.74

Summary:
The value obtained for the density of states at the Fermi level is 0.00 states/eV per atom. The uncorrected formation energy is -1.610 eV/atom. The crystal system is trigonal.

No. 10
This record from Alexandria describes a relaxed CdHgRu2 crystal. The functional is GGA-PBE.

Cell lengths 5.9539, 5.9539, 5.9539 Å; angles 101.45, 101.45, 127.07 degrees
With the nearest neighbours (Å) after each atom.
Positions (direct):
1 Cd 0.0000 0.0000 0.0000  2 Hg 2.65, 4 Ru 2.76
2 Cd 0.7500 0.2500 0.5000  2 Hg 2.65, 4 Ru 2.76
3 Hg 0.2500 0.7500 0.5000  2 Cd 2.65, 4 Ru 2.73
4 Hg 0.5000 0.5000 0.0000  2 Cd 2.65, 4 Ru 2.73
5 Ru 0.1272 0.6250 0.0022  2 Ru 2.65, 2 Hg 2.73, 2 Cd 2.76
6 Ru 0.3750 0.3772 0.5022  2 Ru 2.65, 2 Hg 2.73, 2 Cd 2.76
7 Ru 0.6228 0.1250 0.9978  2 Ru 2.65, 2 Hg 2.73, 2 Cd 2.76
8 Ru 0.8750 0.8728 0.4978  2 Ru 2.65, 2 Hg 2.73, 2 Cd 2.76

Summary:
The value obtained for the density of states at the Fermi level is 1.67 states/eV per atom. The value obtained for the formation energy from the elements is 0.98 eV/atom. The crystal system is tetragonal. The energy above the lowest structure with this stoichiometry comes out at 0.785 eV per atom.

Q: Number 3 is which compound?
A: PuAu2I6